1.
VASP calculation (PBE) on a relaxed TbZnAu4 crystal.

Structure (extended XYZ):
```
12
Lattice="-2.906 0.672 -4.264 -2.874 -4.092 1.440 -1.591 7.511 6.286" Properties=species:S:1:pos:R:3 pbc="T T T"
Tb -4.335 -2.565 -2.118
Tb -3.035 6.655 5.580
Zn -2.248 4.091 1.011
Zn -2.232 1.709 3.863
Au -3.516 6.016 2.628
Au -3.869 0.456 -2.016
Au -3.855 -1.926 0.833
Au -3.501 3.634 5.478
Au -1.229 4.789 4.011
Au -3.251 1.011 0.864
Au -6.141 -0.699 -0.549
Au -4.120 3.080 2.597
```

Values from the calculation:
Mass density: 14.21 g/cm3
Symmetry: P2/m, No. 10
Total DFT energy (no corrections): -0.26572 Ry/atom


2.
VASP calculation (PBE) on a relaxed Tb5Zn4Au crystal.

Structure (extended XYZ):
```
10
Lattice="-0.889 3.478 0.270 -3.482 -0.901 0.145 1.029 -1.113 17.745" Properties=species:S:1:pos:R:3 pbc="T T T"
Tb -2.081 1.176 2.006
Tb -1.876 0.954 5.540
Tb -1.671 0.732 9.080
Tb -1.466 0.510 12.620
Tb -1.261 0.288 16.155
Zn 0.209 -0.227 3.611
Zn 0.412 -0.445 7.099
Zn 0.617 -0.668 10.646
Zn 0.820 -0.887 14.134
Au 0.000 0.000 0.000
```

Values from the calculation:
Mass density: 9.02 g/cm3
Symmetry: P4/mmm, No. 123
Total DFT energy (no corrections): -0.26442 Ry/atom


3.
VASP calculation (PBE) on a relaxed TbZn2Au4 crystal.

Structure (extended XYZ):
```
7
Lattice="4.619 0.000 2.667 2.310 4.953 1.333 -0.166 0.000 5.623" Properties=species:S:1:pos:R:3 pbc="T T T"
Tb 0.000 0.000 0.000
Zn 4.536 2.476 5.478
Zn 2.227 2.476 4.145
Au 3.136 0.000 5.237
Au 1.317 0.000 3.052
Au 2.310 1.985 1.333
Au 4.619 2.968 2.667
```

Values from the calculation:
Mass density: 13.68 g/cm3
Symmetry: I4/mmm, No. 139
Total DFT energy (no corrections): -0.25073 Ry/atom


> Which formula does entry 2 have?

Tb5Zn4Au


> Which value of total DFT energy (no corrections) does entry 3 give?

-0.25073 Ry/atom


> total DFT energy (no corrections) of number 2 (Tb5Zn4Au)?

-0.26442 Ry/atom